(1)
A plane-wave DFT calculation with GGA-PBE was carried out for a relaxed structure of Tm6Sb2Pb.

Uncorrected formation energy ... -0.47 eV/atom

Cell: 6.2292 8.2210 10.1297 Å, 90.00 90.30 90.00°
Fractional coordinates of all 18 atoms:
Tm: 0.8576 0.9563 0.2203
Tm: 0.8644 0.6531 0.5487
Tm: 0.8875 0.7059 0.9428
Tm: 0.6125 0.2059 0.5572
Tm: 0.6356 0.1531 0.9513
Tm: 0.6424 0.4563 0.2797
Tm: 0.1424 0.0437 0.7797
Tm: 0.1356 0.3469 0.4513
Tm: 0.1125 0.2941 0.0572
Tm: 0.3875 0.7941 0.4428
Tm: 0.3644 0.8469 0.0487
Tm: 0.3576 0.5437 0.7203
Sb: 0.9038 0.3867 0.7620
Sb: 0.5962 0.8867 0.7380
Sb: 0.4038 0.1133 0.2620
Sb: 0.0962 0.6133 0.2380
Pb: 0.5000 0.5000 0.0000
Pb: 0.0000 0.0000 0.5000



(2)
A plane-wave DFT calculation with GGA-PBE was carried out for a relaxed structure of NaLuAu2.

Energy of formation from the pure elements ... -0.63 eV/atom

Cell: 3.5069 3.5069 7.3705 Å, 90.00 90.00 90.00°
Fractional coordinates of all 4 atoms:
Na: 0.5000 0.5000 0.5000
Lu: 0.5000 0.5000 0.0000
Au: 0.0000 0.0000 0.7818
Au: 0.0000 0.0000 0.2182



(3)
A plane-wave DFT calculation with GGA-PBE was carried out for a relaxed structure of Sm2Tl3CuTe6.

Uncorrected formation energy ... -0.65 eV/atom

Cell: 7.6561 7.6561 8.4661 Å, 100.54 100.54 119.18°
Fractional coordinates of all 12 atoms:
Sm: 0.3412 0.6588 0.0000
Sm: 0.6588 0.3412 0.0000
Tl: 0.1858 0.8142 0.5000
Tl: 0.8142 0.1858 0.5000
Tl: 0.5000 0.5000 0.5000
Cu: 0.0000 0.0000 0.0000
Te: 0.9370 0.6391 0.8060
Te: 0.7476 0.7476 0.2501
Te: 0.0630 0.3609 0.1940
Te: 0.6391 0.9370 0.8060
Te: 0.2524 0.2524 0.7499
Te: 0.3609 0.0630 0.1940



(4)
A plane-wave DFT calculation with GGA-PBE was carried out for a relaxed structure of Dy2PuHfN4.

Uncorrected formation energy ... -1.63 eV/atom

Cell: 3.3942 5.8882 5.8781 Å, 109.32 90.00 90.00°
Fractional coordinates of all 8 atoms:
Dy: 0.5000 0.0000 0.5000
Dy: 0.0000 0.5000 0.5000
Pu: 0.5000 0.5000 0.0000
Hf: 0.0000 0.0000 0.0000
N: 0.5000 0.2332 0.2305
N: 0.5000 0.7668 0.7695
N: 0.0000 0.2432 0.7657
N: 0.0000 0.7568 0.2343



(5)
A plane-wave DFT calculation with GGA-PBE was carried out for a relaxed structure of TaTc2Mo.

Energy of formation from the pure elements ... -0.04 eV/atom
Energy relative to the lowest polymorph listed for this composition ... 162 meV/atom

Cell: 2.7718 2.7718 8.7813 Å, 90.00 90.00 110.75°
Fractional coordinates of all 4 atoms:
Mo: 0.5000 0.5000 0.2500
Ta: 0.5000 0.5000 0.7500
Tc: 0.0000 0.0000 0.0028
Tc: 0.0000 0.0000 0.4972



(6)
A plane-wave DFT calculation with GGA-PBE was carried out for a relaxed structure of MnSb2Au.

Energy relative to the lowest polymorph listed for this composition ... 122 meV/atom
Uncorrected formation energy ... 0.15 eV/atom

Cell: 5.5359 5.5359 5.3631 Å, 74.00 74.00 33.11°
Fractional coordinates of all 4 atoms:
Au: 0.5340 0.5340 0.5324
Mn: 0.2258 0.2258 0.1911
Sb: 0.9709 0.9709 0.0794
Sb: 0.7693 0.7693 0.6971



(7)
A plane-wave DFT calculation with GGA-PBE was carried out for a relaxed structure of Nb4IrRh7.

Energy of formation from the pure elements ... 0.02 eV/atom

Cell: 4.6555 8.6110 5.7609 Å, 80.08 66.17 74.32°
Fractional coordinates of all 12 atoms:
Nb: 0.5933 0.2279 0.5855
Nb: 0.4067 0.7721 0.4145
Nb: 0.7429 0.6713 0.8428
Nb: 0.2571 0.3287 0.1572
Ir: 0.0000 0.0000 0.0000
Rh: 0.7879 0.9083 0.5158
Rh: 0.2121 0.0917 0.4842
Rh: 0.0711 0.6683 0.1895
Rh: 0.9289 0.3317 0.8105
Rh: 0.3619 0.5365 0.7396
Rh: 0.5000 0.0000 0.0000
Rh: 0.6381 0.4635 0.2604



(8)
A plane-wave DFT calculation with GGA-PBE was carried out for a relaxed structure of La3Ga3Pt8.

Energy of formation from the pure elements ... -1.00 eV/atom

Cell: 4.3985 8.4164 8.7441 Å, 64.33 75.43 74.85°
Fractional coordinates of all 14 atoms:
La: 0.2956 0.7457 0.6631
La: 0.7044 0.2543 0.3369
La: 0.0000 0.0000 0.0000
Ga: 0.0000 0.5000 0.5000
Ga: 0.6783 0.6478 0.9956
Ga: 0.3217 0.3522 0.0044
Pt: 0.1121 0.1600 0.6157
Pt: 0.8879 0.8400 0.3843
Pt: 0.8690 0.4269 0.8351
Pt: 0.1310 0.5731 0.1649
Pt: 0.5072 0.6675 0.3180
Pt: 0.4928 0.3325 0.6820
Pt: 0.3535 0.0483 0.2446
Pt: 0.6465 0.9517 0.7554



(9)
A plane-wave DFT calculation with GGA-PBE was carried out for a relaxed structure of La2Dy3Hg3.

Energy of formation from the pure elements ... -0.34 eV/atom

Cell: 3.8032 5.2917 11.8549 Å, 102.90 99.23 90.00°
Fractional coordinates of all 8 atoms:
La: 0.2707 0.7707 0.5415
La: 0.7293 0.2293 0.4585
Dy: 0.3839 0.3839 0.7679
Dy: 0.6161 0.6161 0.2321
Dy: 0.5000 0.0000 0.0000
Hg: 0.8889 0.8889 0.7779
Hg: 0.0000 0.5000 0.0000
Hg: 0.1111 0.1111 0.2221



(10)
A plane-wave DFT calculation with GGA-PBE was carried out for a relaxed structure of YPt2W2.

Energy of formation from the pure elements ... -0.24 eV/atom
Energy relative to the lowest polymorph listed for this composition ... 0 meV/atom

Cell: 3.7965 3.7965 7.1455 Å, 74.59 74.59 90.00°
Fractional coordinates of all 5 atoms:
Y: 0.0000 0.0000 0.0000
W: 0.7500 0.2500 0.5000
W: 0.2500 0.7500 0.5000
Pt: 0.4001 0.4001 0.1998
Pt: 0.5999 0.5999 0.8002



(11)
A plane-wave DFT calculation with GGA-PBE was carried out for a relaxed structure of Rb2Ba2O3.

Uncorrected formation energy ... -1.79 eV/atom

Cell: 3.9728 7.0400 7.1487 Å, 99.58 90.00 106.39°
Fractional coordinates of all 7 atoms:
Rb: 0.8533 0.7065 0.6288
Rb: 0.1467 0.2935 0.3712
Ba: 0.6295 0.2590 0.9163
Ba: 0.3705 0.7410 0.0837
O: 0.0000 0.0000 0.0000
O: 0.7616 0.5231 0.2216
O: 0.2384 0.4769 0.7784



(12)
A plane-wave DFT calculation with GGA-PBE was carried out for a relaxed structure of AcIn6Pd4.

Energy of formation from the pure elements ... -0.53 eV/atom
Energy relative to the lowest polymorph listed for this composition ... 17 meV/atom

Cell: 7.1316 7.1261 7.1261 Å, 89.97 120.02 120.02°
Fractional coordinates of all 11 atoms:
Ac: 0.9991 0.0002 0.0002
In: 0.0009 0.8787 0.5265
In: 0.0009 0.5265 0.8787
In: 0.6458 0.1213 0.1213
In: 0.4995 0.9994 0.4989
In: 0.3536 0.4749 0.4749
In: 0.4995 0.4989 0.9994
Pd: 0.9996 0.2475 0.5985
Pd: 0.6500 0.4020 0.4020
Pd: 0.9996 0.5985 0.2475
Pd: 0.3514 0.7521 0.7521



(13)
A plane-wave DFT calculation with GGA-PBE was carried out for a relaxed structure of NaCa2Pm.

Energy of formation from the pure elements ... 0.31 eV/atom
Energy relative to the lowest polymorph listed for this composition ... 232 meV/atom

Cell: 5.9998 5.9998 5.9998 Å, 60.00 60.00 60.00°
Fractional coordinates of all 4 atoms:
Na: 0.5000 0.5000 0.5000
Ca: 0.2500 0.2500 0.2500
Ca: 0.7500 0.7500 0.7500
Pm: 0.0000 0.0000 0.0000



(14)
A plane-wave DFT calculation with GGA-PBE was carried out for a relaxed structure of Ti2NbInB.

Energy of formation from the pure elements ... -0.30 eV/atom

Cell: 4.3362 4.3362 4.4201 Å, 90.00 90.00 90.00°
Fractional coordinates of all 5 atoms:
Nb: 0.0000 0.0000 0.5000
Ti: 0.0000 0.5000 0.0000
Ti: 0.5000 0.0000 0.0000
B: 0.0000 0.0000 0.0000
In: 0.5000 0.5000 0.5000



(15)
A plane-wave DFT calculation with GGA-PBE was carried out for a relaxed structure of AcIn5Au3.

Energy of formation from the pure elements ... -0.32 eV/atom

Cell: 4.4354 7.6162 14.2418 Å, 90.00 90.00 106.93°
Fractional coordinates of all 18 atoms:
Ac: 0.8336 0.6673 0.7500
Ac: 0.1664 0.3327 0.2500
In: 0.8025 0.6050 0.4424
In: 0.1975 0.3950 0.9424
In: 0.0000 0.0000 0.5000
In: 0.0000 0.0000 0.0000
In: 0.4350 0.8699 0.1476
In: 0.5650 0.1301 0.8524
In: 0.5650 0.1301 0.6476
In: 0.8025 0.6050 0.0576
In: 0.1975 0.3950 0.5576
In: 0.4350 0.8699 0.3524
Au: 0.3855 0.7710 0.9182
Au: 0.8445 0.6890 0.2500
Au: 0.3855 0.7710 0.5818
Au: 0.6145 0.2290 0.4182
Au: 0.1555 0.3110 0.7500
Au: 0.6145 0.2290 0.0818



(16)
A plane-wave DFT calculation with GGA-PBE was carried out for a relaxed structure of Sc2PCl.

Uncorrected formation energy ... -1.11 eV/atom

Cell: 4.6567 4.6567 4.6567 Å, 60.00 60.00 60.00°
Fractional coordinates of all 4 atoms:
Sc: 0.2500 0.2500 0.2500
Sc: 0.7500 0.7500 0.7500
P: 0.0000 0.0000 0.0000
Cl: 0.5000 0.5000 0.5000



(17)
A plane-wave DFT calculation with GGA-PBE was carried out for a relaxed structure of TlSb2Au2.

Energy relative to the lowest polymorph listed for this composition ... 27 meV/atom
Uncorrected formation energy ... -0.01 eV/atom

Cell: 4.7910 4.7910 6.8162 Å, 69.42 69.42 90.00°
Fractional coordinates of all 5 atoms:
Sb: 0.3756 0.3756 0.2488
Sb: 0.6244 0.6244 0.7512
Tl: 0.0000 0.0000 0.0000
Au: 0.7500 0.2500 0.5000
Au: 0.2500 0.7500 0.5000



(18)
A plane-wave DFT calculation with GGA-PBE was carried out for a relaxed structure of USn.

Energy of formation from the pure elements ... 0.01 eV/atom

Cell: 3.1322 3.1322 5.5065 Å, 90.00 90.00 120.00°
Fractional coordinates of all 2 atoms:
U: 0.0000 0.0000 0.0000
Sn: 0.3333 0.6667 0.5000



(19)
A plane-wave DFT calculation with GGA-PBE was carried out for a relaxed structure of CaNb.

Energy of formation from the pure elements ... 0.78 eV/atom
Energy relative to the lowest polymorph listed for this composition ... 504 meV/atom

Cell: 11.2452 11.2452 3.0487 Å, 90.00 90.00 120.00°
Fractional coordinates of all 12 atoms:
Ca: 0.7336 0.0547 0.2500
Ca: 0.6789 0.7336 0.7500
Ca: 0.9453 0.6789 0.2500
Ca: 0.2664 0.9453 0.7500
Ca: 0.3211 0.2664 0.2500
Ca: 0.0547 0.3211 0.7500
Nb: 0.8192 0.3670 0.2500
Nb: 0.4522 0.8192 0.7500
Nb: 0.6330 0.4522 0.2500
Nb: 0.1808 0.6330 0.7500
Nb: 0.5478 0.1808 0.2500
Nb: 0.3670 0.5478 0.7500



(20)
A plane-wave DFT calculation with GGA-PBE was carried out for a relaxed structure of ScVCl.

Uncorrected formation energy ... -0.73 eV/atom

Cell: 3.3254 4.2551 12.2602 Å, 110.34 103.71 50.22°
Fractional coordinates of all 6 atoms:
V: 0.1735 0.8005 0.6832
V: 0.1798 0.3642 0.7500
Sc: 0.3201 0.0476 0.5046
Sc: 0.3601 0.9523 0.9286
Cl: 0.5194 0.3099 0.3668
Cl: 0.5849 0.4780 0.0665



(21)
A plane-wave DFT calculation with GGA-PBE was carried out for a relaxed structure of RbPrPdO2.

Uncorrected formation energy ... -1.74 eV/atom

Cell: 5.3117 6.1814 7.0179 Å, 90.32 90.00 90.00°
Fractional coordinates of all 10 atoms:
Rb: 0.0033 0.5000 0.7500
Rb: 0.9967 0.5000 0.2500
Pr: 0.4996 0.0000 0.2500
Pr: 0.5004 0.0000 0.7500
Pd: 0.0000 0.0000 0.0000
Pd: 0.0000 0.0000 0.5000
O: 0.6825 0.7994 0.9991
O: 0.6825 0.2006 0.5009
O: 0.3175 0.7994 0.4991
O: 0.3175 0.2006 0.0009



(22)
A plane-wave DFT calculation with GGA-PBE was carried out for a relaxed structure of CsPa2ZnO8.

Uncorrected formation energy ... -2.40 eV/atom

Cell: 3.5860 5.6930 9.6651 Å, 96.83 89.98 89.88°
Fractional coordinates of all 12 atoms:
Cs: 0.0000 0.0000 0.5000
Pa: 0.5005 0.5422 0.8171
Pa: 0.4995 0.4578 0.1829
Zn: 0.0000 0.0000 0.0000
O: 0.9985 0.6475 0.2544
O: 0.4980 0.7263 0.0339
O: 0.0009 0.2050 0.1775
O: 0.0015 0.3525 0.7456
O: 0.5020 0.2737 0.9661
O: 0.9991 0.7950 0.8225
O: 0.5008 0.5898 0.5513
O: 0.4992 0.4102 0.4487



(23)
A plane-wave DFT calculation with GGA-PBE was carried out for a relaxed structure of Pm7Y12Pu.

Energy of formation from the pure elements ... 0.23 eV/atom
Energy relative to the lowest polymorph listed for this composition ... 0 meV/atom

Cell: 8.7693 8.7693 8.7693 Å, 90.24 90.24 90.24°
Fractional coordinates of all 20 atoms:
Pm: 0.9728 0.6724 0.0705
Pm: 0.3276 0.9295 0.0272
Pm: 0.9295 0.0272 0.3276
Pm: 0.5000 0.5000 0.5000
Pm: 0.0705 0.9728 0.6724
Pm: 0.6724 0.0705 0.9728
Pm: 0.0272 0.3276 0.9295
Y: 0.7714 0.2325 0.6250
Y: 0.7675 0.3750 0.2286
Y: 0.4527 0.1242 0.3520
Y: 0.8758 0.6480 0.5473
Y: 0.3750 0.2286 0.7675
Y: 0.6480 0.5473 0.8758
Y: 0.3520 0.4527 0.1242
Y: 0.6250 0.7714 0.2325
Y: 0.1242 0.3520 0.4527
Y: 0.5473 0.8758 0.6480
Y: 0.2325 0.6250 0.7714
Y: 0.2286 0.7675 0.3750
Pu: 0.0000 0.0000 0.0000



(24)
A plane-wave DFT calculation with GGA-PBE was carried out for a relaxed structure of BaFe2Mo.

Energy of formation from the pure elements ... 1.09 eV/atom
Energy relative to the lowest polymorph listed for this composition ... 555 meV/atom

Cell: 5.8618 5.8618 5.8618 Å, 151.28 126.40 61.94°
Fractional coordinates of all 4 atoms:
Ba: 0.2463 0.7463 0.5000
Fe: 0.9537 0.9537 0.0000
Fe: 0.7559 0.2559 0.5000
Mo: 0.5440 0.5440 0.0000



no.,DFT total energy (eV per cell)
1,-86.09
2,-14.90
3,-47.29
4,-79.79
5,-43.57
6,-20.09
7,-100.30
8,-86.20
9,-27.27
10,-45.66
11,-33.20
12,-47.14
13,-8.82
14,-36.77
15,-60.98
16,-24.37
17,-17.23
18,-15.26
19,-63.07
20,-38.96
21,-59.16
22,-89.64
23,-120.55
24,-25.33